# PrHoTlAu, optimized geometry, DFT PBE
data_PrHoTlAu
_chemical_formula_sum 'Pr4 Ho4 Tl4 Au4'
_cell_length_a 7.5496
_cell_length_b 7.5496
_cell_length_c 7.5496
_cell_angle_alpha 90.00
_cell_angle_beta 90.00
_cell_angle_gamma 90.00
_space_group_name_H-M_alt 'F -4 3 m'
_space_group_IT_number 216
_space_group_name_Hall 'F -4 2 3'
loop_
_atom_site_label
_atom_site_type_symbol
_atom_site_fract_x
_atom_site_fract_y
_atom_site_fract_z
Pr1 Pr 0.0000 0.0000 0.0000
Ho1 Ho 0.0000 0.0000 0.5000
Tl1 Tl 0.2500 0.2500 0.2500
Au1 Au 0.2500 0.2500 0.7500
# Calculated density   10.92 g/cm³
# D(E_F)   0.98 states/eV per atom
# Calculated formation energy   -204 kJ/mol of formula units
# Spin magnetization   0.306 μB per cell
# Uncorrected energy   -4.278 eV per atom